Compound: YNiRh2
Source: the Alexandria database
Functional: PBE
Structure: optimized geometry

Lattice parameters (Å, degrees): 5.3187 5.3187 2.9622 104.22 104.22 117.93
With the nearest neighbours (Å) after each atom.
Positions (direct):
Y 0.0000 0.0000 0.0000  4 Rh 2.71, 4 Ni 2.74-2.92, 2 Y 2.96
Ni 0.5000 0.5000 0.0000  4 Rh 2.71, 4 Y 2.74-2.92, 2 Ni 2.96
Rh 0.0000 0.5000 0.5000  2 Ni 2.71, 2 Y 2.71, 6 Rh 2.74-2.96
Rh 0.5000 0.0000 0.5000  2 Ni 2.71, 2 Y 2.71, 6 Rh 2.74-2.96

Summary:
final energy = -27.5 eV/cell
SG = C2/m, No. 12
N(E_F) = 1.13 states/eV per atom
magnetic moment = 0.00 Bohr magnetons per cell